A relaxed structure of NaDyCrF6. Source: Alexandria via LeMat-Bulk, functional GGA+U.

## Properties
The total energy is -5.91 eV/atom. As for the crystal system: trigonal.

The structure in CIF format:
```
data_NaDyCrF6
_chemical_formula_sum 'Na2 Dy2 Cr2 F12'
_cell_length_a 5.7766
_cell_length_b 5.7766
_cell_length_c 9.5369
_cell_angle_alpha 90.00
_cell_angle_beta 90.00
_cell_angle_gamma 120.00
_symmetry_space_group_name_H-M 'P -3 1 c'
_symmetry_Int_Tables_number 163
_symmetry_space_group_name_Hall '-P 3 2c'
loop_
_atom_site_label
_atom_site_fract_x
_atom_site_fract_y
_atom_site_fract_z
Na1 0.0000 0.0000 0.0000
Dy1 0.3333 0.6667 0.2500
Cr1 0.3333 0.6667 0.7500
F1 0.0078 0.3563 0.6348
```